Entry from Alexandria: a geometry-optimized PrAlCoO4 structure (PBE with a Hubbard U).

POSCAR file:
```
PrAlCoO4
1.0
5.3523 0.0000 0.0000
0.0000 5.3523 0.0000
-2.6762 -2.6762 3.2735
O Co Al Pr
4 1 1 1
Cartesian
3.8001 1.6997 0.9861
0.9764 1.1239 2.2874
-0.9764 -1.1239 2.2874
1.5522 3.6526 0.9861
0.0000 2.6762 1.6367
2.6762 2.6762 0.0000
0.0000 0.0000 0.0000
```

Computed properties:
* total energy: -50.6 eV per cell
* D(E_F): 0.0 states/eV/cell